--- 1 ---
{
  "formula": "OsPbBr2",
  "functional": "PBE",
  "state": "optimized geometry",
  "m_tot_mub_per_fu": 2.75,
  "space_group": "Fm-3m, No. 225",
  "lattice_angstrom": [[0.000, 3.635, 3.635], [3.635, 0.000, 3.635], [3.635, 3.635, 0.000]],
  "species": ["Os", "Br", "Br", "Pb"],
  "fractional_positions": [[0.000, 0.000, 0.000], [0.750, 0.750, 0.750], [0.250, 0.250, 0.250], [0.500, 0.500, 0.500]]
}

=====

--- 2 ---
{
  "formula": "OsPbBr2",
  "functional": "PBE",
  "state": "optimized geometry",
  "m_tot_mub_per_fu": 0.55,
  "space_group": "P2/m, No. 10",
  "lattice_angstrom": [[3.351, 0.000, 0.000], [0.000, 5.925, 0.016], [0.000, 4.013, 4.586]],
  "species": ["Br", "Br", "Pb", "Os"],
  "fractional_positions": [[0.500, 0.500, 0.000], [0.000, 0.000, 0.000], [0.000, 0.000, 0.500], [0.500, 0.500, 0.500]]
}

=====

--- 3 ---
{
  "formula": "OsPbBr2",
  "functional": "PBE",
  "state": "optimized geometry",
  "m_tot_mub_per_fu": 0.00,
  "space_group": "P4/mmm, No. 123",
  "lattice_angstrom": [[3.236, 0.000, 0.000], [0.000, 3.236, 0.000], [0.000, 0.000, 9.078]],
  "species": ["Os", "Br", "Br", "Pb"],
  "fractional_positions": [[0.500, 0.500, 0.250], [0.000, 0.000, 0.075], [0.000, 0.000, 0.425], [0.500, 0.500, 0.750]]
}

=====

Least stable of them? 1.

=====

--- 1 ---
{
  "formula": "Os2Pb2Br",
  "functional": "PBE",
  "state": "optimized geometry",
  "m_tot_mub_per_fu": 0.00,
  "space_group": "I4/mmm, No. 139",
  "lattice_angstrom": [[-4.640, -0.359, -2.765], [-2.649, -1.110, 4.589], [-4.309, 3.294, 1.503]],
  "species": ["Os", "Os", "Pb", "Pb", "Br"],
  "fractional_positions": [[0.363, 0.363, 0.274], [0.637, 0.637, 0.726], [0.250, 0.750, 0.500], [0.750, 0.250, 0.500], [0.000, 0.000, 0.000]]
}

=====

--- 2 ---
{
  "formula": "Os2Pb2Br",
  "functional": "PBE",
  "state": "optimized geometry",
  "m_tot_mub_per_fu": 0.00,
  "space_group": "P4/mbm, No. 127",
  "lattice_angstrom": [[7.868, 0.000, 0.000], [0.000, 7.868, 0.000], [0.000, 0.000, 3.323]],
  "species": ["Pb", "Pb", "Pb", "Pb", "Os", "Os", "Os", "Os", "Br", "Br"],
  "fractional_positions": [[0.155, 0.655, 0.500], [0.845, 0.345, 0.500], [0.345, 0.155, 0.500], [0.655, 0.845, 0.500], [0.641, 0.141, 0.000], [0.859, 0.641, 0.000], [0.141, 0.359, 0.000], [0.359, 0.859, 0.000], [0.000, 0.000, 0.000], [0.500, 0.500, 0.000]]
}

=====

Least stable of them? 2.

=====

--- 1 ---
{
  "formula": "Os3PbBr",
  "functional": "PBE",
  "state": "optimized geometry",
  "m_tot_mub_per_fu": 6.53,
  "space_group": "Pm-3m, No. 221",
  "lattice_angstrom": [[-4.651, -1.346, 1.631], [1.607, -4.810, 0.614], [1.374, 1.072, 4.802]],
  "species": ["Os", "Os", "Os", "Br", "Pb"],
  "fractional_positions": [[0.500, 0.000, 0.000], [0.000, 0.500, 0.000], [0.000, 0.000, 0.500], [0.500, 0.500, 0.500], [0.000, 0.000, 0.000]]
}

=====

--- 2 ---
{
  "formula": "Os3PbBr",
  "functional": "PBE",
  "state": "optimized geometry",
  "m_tot_mub_per_fu": 0.00,
  "space_group": "Pm-3m, No. 221",
  "lattice_angstrom": [[4.660, 0.000, 0.000], [0.000, 4.660, 0.000], [0.000, 0.000, 4.660]],
  "species": ["Os", "Os", "Os", "Br", "Pb"],
  "fractional_positions": [[0.000, 0.000, 0.500], [0.500, 0.000, 0.000], [0.000, 0.500, 0.000], [0.000, 0.000, 0.000], [0.500, 0.500, 0.500]]
}

=====

Least stable of them? 1.

=====

--- 1 ---
{
  "formula": "Os3PdBr",
  "functional": "PBE",
  "state": "optimized geometry",
  "m_tot_mub_per_fu": 2.14,
  "space_group": "Pm-3m, No. 221",
  "lattice_angstrom": [[4.526, 0.000, 0.000], [0.000, 4.526, 0.000], [0.000, 0.000, 4.526]],
  "species": ["Os", "Os", "Os", "Br", "Pd"],
  "fractional_positions": [[0.000, 0.500, 0.000], [0.000, 0.000, 0.500], [0.500, 0.000, 0.000], [0.000, 0.000, 0.000], [0.500, 0.500, 0.500]]
}

=====

--- 2 ---
{
  "formula": "Os3PdBr",
  "functional": "PBE",
  "state": "optimized geometry",
  "m_tot_mub_per_fu": 8.28,
  "space_group": "Pm-3m, No. 221",
  "lattice_angstrom": [[4.879, 0.000, 0.000], [0.000, 4.879, 0.000], [0.000, 0.000, 4.879]],
  "species": ["Br", "Os", "Os", "Os", "Pd"],
  "fractional_positions": [[0.500, 0.500, 0.500], [0.000, 0.000, 0.500], [0.500, 0.000, 0.000], [0.000, 0.500, 0.000], [0.000, 0.000, 0.000]]
}

=====

Least stable of them? 2.

=====

--- 1 ---
{
  "formula": "Os2PdBr",
  "functional": "PBE",
  "state": "optimized geometry",
  "m_tot_mub_per_fu": 0.00,
  "space_group": "Fm-3m, No. 225",
  "lattice_angstrom": [[0.000, 3.147, 3.147], [3.147, 0.000, 3.147], [3.147, 3.147, 0.000]],
  "species": ["Pd", "Br", "Os", "Os"],
  "fractional_positions": [[0.500, 0.500, 0.500], [0.000, 0.000, 0.000], [0.750, 0.750, 0.750], [0.250, 0.250, 0.250]]
}

=====

--- 2 ---
{
  "formula": "Os2PdBr",
  "functional": "PBE",
  "state": "optimized geometry",
  "m_tot_mub_per_fu": 0.00,
  "space_group": "I-42d, No. 122",
  "lattice_angstrom": [[3.823, 0.000, 0.000], [0.000, 3.823, 0.000], [1.911, 1.911, 9.981]],
  "species": ["Pd", "Pd", "Os", "Os", "Os", "Os", "Br", "Br"],
  "fractional_positions": [[0.000, 0.000, 0.000], [0.750, 0.250, 0.500], [0.875, 0.943, 0.750], [0.375, 0.307, 0.750], [0.057, 0.625, 0.250], [0.693, 0.125, 0.250], [0.250, 0.750, 0.500], [0.500, 0.500, 0.000]]
}

=====

Least stable of them? 1.

=====

--- 1 ---
{
  "formula": "OsPdBr2",
  "functional": "PBE",
  "state": "optimized geometry",
  "m_tot_mub_per_fu": 0.00,
  "space_group": "R-3m, No. 166",
  "lattice_angstrom": [[2.168, 0.000, 7.542], [-1.084, 1.877, 7.542], [-1.084, -1.877, 7.542]],
  "species": ["Os", "Br", "Br", "Pd"],
  "fractional_positions": [[0.500, 0.500, 0.500], [0.891, 0.891, 0.891], [0.109, 0.109, 0.109], [0.000, 0.000, 0.000]]
}

=====

--- 2 ---
{
  "formula": "OsPdBr2",
  "functional": "PBE",
  "state": "optimized geometry",
  "m_tot_mub_per_fu": 0.00,
  "space_group": "R-3m, No. 166",
  "lattice_angstrom": [[1.794, 0.000, 9.174], [-0.897, 1.554, 9.174], [-0.897, -1.554, 9.174]],
  "species": ["Br", "Br", "Os", "Pd"],
  "fractional_positions": [[0.086, 0.086, 0.086], [0.914, 0.914, 0.914], [0.000, 0.000, 0.000], [0.500, 0.500, 0.500]]
}

=====

Least stable of them? 2.

=====

--- 1 ---
{
  "formula": "OsPdBr2",
  "functional": "PBE",
  "state": "optimized geometry",
  "m_tot_mub_per_fu": 0.00,
  "space_group": "I-42d, No. 122",
  "lattice_angstrom": [[6.442, 0.000, 0.000], [0.000, 6.442, 0.000], [3.221, 3.221, 4.409]],
  "species": ["Os", "Os", "Pd", "Pd", "Br", "Br", "Br", "Br"],
  "fractional_positions": [[0.000, 0.000, 0.000], [0.750, 0.250, 0.500], [0.250, 0.750, 0.500], [0.500, 0.500, 0.000], [0.102, 0.625, 0.250], [0.375, 0.352, 0.750], [0.875, 0.898, 0.750], [0.648, 0.125, 0.250]]
}

=====

--- 2 ---
{
  "formula": "OsPdBr2",
  "functional": "PBE",
  "state": "optimized geometry",
  "m_tot_mub_per_fu": 0.00,
  "space_group": "Fm-3m, No. 225",
  "lattice_angstrom": [[0.000, 3.276, 3.276], [3.276, 0.000, 3.276], [3.276, 3.276, 0.000]],
  "species": ["Pd", "Os", "Br", "Br"],
  "fractional_positions": [[0.000, 0.000, 0.000], [0.500, 0.500, 0.500], [0.750, 0.750, 0.750], [0.250, 0.250, 0.250]]
}

=====

Least stable of them? 2.

=====

--- 1 ---
{
  "formula": "OsPdRu2Br",
  "functional": "PBE",
  "state": "optimized geometry",
  "m_tot_mub_per_fu": 4.22,
  "space_group": "P4/mmm, No. 123",
  "lattice_angstrom": [[4.532, 0.000, 0.000], [0.000, 4.564, 0.000], [0.000, 0.000, 4.532]],
  "species": ["Br", "Ru", "Ru", "Os", "Pd"],
  "fractional_positions": [[0.000, 0.000, 0.000], [0.000, 0.000, 0.500], [0.500, 0.000, 0.000], [0.500, 0.500, 0.500], [0.000, 0.500, 0.000]]
}

=====

--- 2 ---
{
  "formula": "OsPdRu2Br",
  "functional": "PBE",
  "state": "optimized geometry",
  "m_tot_mub_per_fu": 7.79,
  "space_group": "P4/mmm, No. 123",
  "lattice_angstrom": [[-1.565, -1.820, -4.251], [3.478, -3.106, 0.049], [-2.851, -3.154, 2.400]],
  "species": ["Br", "Pd", "Ru", "Ru", "Os"],
  "fractional_positions": [[0.000, 0.500, 0.000], [0.000, 0.000, 0.000], [0.500, 0.000, 0.000], [0.000, 0.000, 0.500], [0.500, 0.500, 0.500]]
}

=====

Least stable of them? 2.